Record 1
Entry from Alexandria: a relaxed VGa2Mo crystal (PBE-GGA).

Summary:
DOS(E_F) ... 3.91 states/eV per cell
Energy relative to the elements ... 0.3 eV per formula unit
Symmetry ... Fm-3m, No. 225
Raw total energy ... -25.73 eV/f.u.

Geometry as CIF:
```
data_VGa2Mo
_cell_length_a 4.3941
_cell_length_b 4.3941
_cell_length_c 4.3941
_cell_angle_alpha 60.00
_cell_angle_beta 60.00
_cell_angle_gamma 60.00
_symmetry_space_group_name_H-M 'P 1'
_symmetry_Int_Tables_number 1
_symmetry_space_group_name_Hall 'P 1'
loop_
_atom_site_label
_atom_site_fract_x
_atom_site_fract_y
_atom_site_fract_z
V1 0.0000 0.0000 0.0000
Ga1 0.2500 0.2500 0.2500
Ga2 0.7500 0.7500 0.7500
Mo1 0.5000 0.5000 0.5000
```


Record 2
Entry from Alexandria: a relaxed U3Co2P4 crystal (PBE-GGA).

Summary:
DOS(E_F) ... 14.97 states/eV per cell
Energy relative to the elements ... -7.8 eV per formula unit
Symmetry ... C2/m, No. 12
Raw total energy ... -77.47 eV/f.u.

Geometry as CIF:
```
data_U3Co2P4
_cell_length_a 6.2090
_cell_length_b 6.2090
_cell_length_c 8.1647
_cell_angle_alpha 121.90
_cell_angle_beta 121.90
_cell_angle_gamma 35.06
_symmetry_space_group_name_H-M 'P 1'
_symmetry_Int_Tables_number 1
_symmetry_space_group_name_Hall 'P 1'
loop_
_atom_site_label
_atom_site_fract_x
_atom_site_fract_y
_atom_site_fract_z
U1 0.0000 0.0000 0.0000
U2 0.3941 0.3941 0.3267
U3 0.6059 0.6059 0.6733
Co1 0.3136 0.3136 0.6338
Co2 0.6864 0.6864 0.3662
P1 0.0946 0.0946 0.3925
P2 0.3064 0.3064 0.9009
P3 0.6936 0.6936 0.0991
P4 0.9054 0.9054 0.6075
```